Entry 1:
DFT (PBE) results for a geometry-optimized Eu3Mg5I12 structure.

Cell and atoms, written as extended XYZ:
```
80
Lattice="16.220 0.000 0.000 -5.407 15.293 0.000 -5.407 -7.646 13.244" Properties=species:S:1:pos:R:3 pbc="T T T"
I 1.987 5.814 9.071
Eu 1.352 -0.956 4.966
I -1.403 -4.123 9.570
Eu 9.462 10.514 1.655
I -2.707 3.399 8.356
Eu 6.758 0.956 4.966
I 6.123 6.520 10.295
I 2.707 -2.534 7.857
I 2.116 2.127 12.029
Eu -4.055 2.867 11.588
Mg -1.352 3.823 3.311
Mg 6.758 -4.779 11.588
Eu -6.758 7.646 9.933
I 8.114 4.248 4.888
I 11.401 7.658 2.449
Mg 1.352 4.779 11.588
I 6.810 11.769 3.673
I 2.699 10.180 5.387
I 5.403 2.534 7.857
I 10.817 -3.399 8.356
Eu 4.055 0.000 9.933
I -3.420 8.772 10.295
I 0.716 9.479 9.071
Mg -5.407 3.823 6.622
Eu 9.462 4.779 1.655
Eu 1.352 7.646 3.311
I 10.810 1.714 0.499
I -1.300 8.766 5.407
I 8.826 -1.126 2.949
Mg 9.462 -0.956 8.277
I -2.116 0.012 10.794
I 12.114 3.523 3.673
I 2.116 -2.115 12.009
I 6.707 -1.120 7.836
I -4.107 12.889 1.734
I 0.004 5.113 5.387
I -6.707 4.123 9.570
Eu -4.055 -2.867 11.588
Mg 8.110 0.000 0.000
Mg -1.352 0.956 8.277
Mg 1.352 -3.823 9.933
Mg -2.703 -3.823 6.622
I -5.403 5.932 12.744
I 5.995 2.115 12.009
Mg -1.352 12.425 1.655
Mg 5.407 -3.823 6.622
Eu -1.352 6.690 8.277
I -5.411 11.045 4.888
I 3.291 5.519 1.214
I -0.588 5.531 1.235
I 4.003 6.527 5.407
Mg 6.758 3.823 9.933
I -4.690 6.940 7.121
Mg -2.703 7.646 0.000
I -1.987 -0.707 6.123
I 4.690 -1.832 4.173
I 1.403 1.120 7.836
I -5.995 -0.012 10.794
I 5.995 -2.127 12.029
I 7.394 8.353 7.121
I 3.291 9.761 1.235
I -1.403 5.243 11.510
Mg 4.055 11.469 3.311
Mg -4.055 8.602 4.966
I -2.707 -5.932 12.744
Eu 4.055 8.602 8.277
I 6.810 2.404 1.734
I -0.588 9.773 1.214
I 9.513 -5.243 11.510
I 3.420 1.832 4.173
Mg 4.055 2.867 1.655
Mg 6.758 6.690 4.966
I 10.097 0.707 6.123
I -0.716 1.126 2.949
I 7.522 7.635 2.449
Mg 2.703 3.823 6.622
Eu 12.165 0.000 3.311
Mg 0.000 0.000 0.000
I 8.114 13.578 0.499
Mg 5.407 7.646 0.000
```

Output
The total DFT energy (no corrections) comes out at -3.78 eV/atom. Its space-group type is Ia-3d. As for the uncorrected formation energy: -18.115 eV/f.u.


Entry 2:
DFT (PBE) results for a geometry-optimized EuMnI2 structure.

Cell and atoms, written as extended XYZ:
```
4
Lattice="-1.709 0.269 -3.771 -3.810 -1.501 -0.662 -5.744 8.440 0.922" Properties=species:S:1:pos:R:3 pbc="T T T"
Mn -5.631 3.604 -1.756
Eu 0.000 0.000 0.000
I -4.436 5.476 0.118
I -6.827 1.731 -3.629
```

Output
The total DFT energy (no corrections) comes out at -5.91 eV/atom. Its space-group type is R-3m. As for the uncorrected formation energy: -1.082 eV/f.u.


Entry 3:
DFT (PBE) results for a geometry-optimized Eu2IN structure.

Cell and atoms, written as extended XYZ:
```
4
Lattice="-1.425 1.877 -2.536 -2.106 -2.638 -0.769 -5.304 2.768 5.027" Properties=species:S:1:pos:R:3 pbc="T T T"
Eu -4.344 2.267 4.118
Eu -0.960 0.501 0.910
N -1.765 -0.380 -1.653
I -4.417 1.003 0.861
```

Output
The total DFT energy (no corrections) comes out at -8.26 eV/atom. Its space-group type is P4/mmm. As for the uncorrected formation energy: -2.603 eV/f.u.


Entry 4:
DFT (PBE) results for a geometry-optimized NaEuI structure.

Cell and atoms, written as extended XYZ:
```
3
Lattice="4.010 0.000 0.000 0.000 4.010 0.000 -2.005 -2.005 7.395" Properties=species:S:1:pos:R:3 pbc="T T T"
Na 2.005 2.005 7.350
Eu 2.005 2.005 2.794
I 0.000 0.000 4.645
```

Output
The value obtained for the polymorph energy (0 for the lowest one) is 0 meV/atom. The total DFT energy (no corrections) comes out at -5.07 eV/atom. Its space-group type is I4mm. As for the uncorrected formation energy: -2.063 eV/f.u.


Entry 5:
DFT (PBE) results for a geometry-optimized Na2EuI structure.

Cell and atoms, written as extended XYZ:
```
4
Lattice="3.999 0.000 0.000 0.000 3.999 0.000 0.000 0.000 9.777" Properties=species:S:1:pos:R:3 pbc="T T T"
I 2.000 2.000 0.000
Na 0.000 0.000 1.881
Na 0.000 0.000 7.896
Eu 2.000 2.000 4.889
```

Output
The value obtained for the polymorph energy (0 for the lowest one) is 0 meV/atom. The total DFT energy (no corrections) comes out at -4.04 eV/atom. Its space-group type is P4/mmm. As for the uncorrected formation energy: -1.715 eV/f.u.


Entry 6:
DFT (PBE) results for a geometry-optimized Na2EuI structure.

Cell and atoms, written as extended XYZ:
```
4
Lattice="-1.632 2.307 -3.042 -4.096 0.665 -0.132 -0.560 10.606 5.509" Properties=species:S:1:pos:R:3 pbc="T T T"
Na -0.995 7.506 3.392
I -3.144 6.789 1.168
Na -5.293 6.071 -1.057
Eu 0.000 0.000 0.000
```

Output
The value obtained for the polymorph energy (0 for the lowest one) is 49 meV/atom. The total DFT energy (no corrections) comes out at -4.00 eV/atom. Its space-group type is R-3m. As for the uncorrected formation energy: -1.518 eV/f.u.


Entry 7:
DFT (PBE) results for a geometry-optimized NaEuI structure.

Cell and atoms, written as extended XYZ:
```
3
Lattice="4.480 0.000 0.000 0.000 5.687 0.000 0.000 -2.843 4.925" Properties=species:S:1:pos:R:3 pbc="T T T"
I 0.738 0.000 0.000
Eu 0.751 0.000 3.283
Na 2.991 2.843 1.642
```

Output
The value obtained for the polymorph energy (0 for the lowest one) is 182 meV/atom. The total DFT energy (no corrections) comes out at -4.89 eV/atom. Its space-group type is P3m1. As for the uncorrected formation energy: -1.517 eV/f.u.


Entry 8:
DFT (PBE) results for a geometry-optimized NdEuI structure.

Cell and atoms, written as extended XYZ:
```
3
Lattice="4.016 0.000 0.000 -2.008 3.478 0.000 0.000 0.000 7.898" Properties=species:S:1:pos:R:3 pbc="T T T"
Nd 0.000 0.000 0.178
Eu 0.000 2.319 5.151
I 2.008 1.159 2.569
```

Output
The total DFT energy (no corrections) comes out at -6.16 eV/atom. Its space-group type is P3m1. As for the uncorrected formation energy: -1.880 eV/f.u.


Among the records above, which one has the highest total DFT energy (no corrections)? Eu3Mg5I12


Which formula does entry 2 have? EuMnI2